Run w
First-principles (PBE) data for a relaxed structure of Ta2AlSb2, as listed in Alexandria via LeMat-Bulk.

Computed properties:
**Crystal system**: tetragonal
**Mass density**: 9.41 g/cm3
**Space-group type**: I4/mmm (139)

Geometry as POSCAR:
```
Ta2AlSb2
1.0
4.0245 0.0000 0.0000
0.0000 4.0245 0.0000
0.0000 0.0000 13.7798
Ta Al Sb
4 2 4
Cartesian
0.0000 0.0000 1.3395
0.0000 0.0000 12.4403
2.0123 2.0123 5.5504
2.0123 2.0123 8.2294
0.0000 0.0000 6.8899
2.0123 2.0123 0.0000
0.0000 2.0123 3.4450
0.0000 2.0123 10.3349
2.0123 0.0000 3.4450
2.0123 0.0000 10.3349
```

Run x
First-principles (PBE) data for a relaxed structure of Ta2AlSb2, as listed in Alexandria via LeMat-Bulk.

Computed properties:
**Crystal system**: tetragonal
**Mass density**: 10.10 g/cm3
**Space-group type**: P4/mbm (127)

Geometry as POSCAR:
```
Ta2AlSb2
1.0
7.4316 0.0000 0.0000
0.0000 7.4316 0.0000
0.0000 0.0000 3.7664
Ta Al Sb
4 2 4
Cartesian
1.0473 2.6685 0.0000
2.6685 6.3843 0.0000
4.7631 1.0473 0.0000
6.3843 4.7631 0.0000
0.0000 0.0000 0.0000
3.7158 3.7158 0.0000
1.1552 4.8710 1.8832
2.5606 1.1552 1.8832
4.8710 6.2764 1.8832
6.2764 2.5606 1.8832
```

Tell me which of them is the most stable. Sure, it is run x.

Run w
First-principles (PBE) data for a relaxed structure of Al2Tc2Sb, as listed in Alexandria via LeMat-Bulk.

Computed properties:
**Crystal system**: tetragonal
**Mass density**: 7.58 g/cm3
**Space-group type**: P4/mbm (127)

Geometry as POSCAR:
```
Al2Tc2Sb
1.0
7.0907 0.0000 0.0000
0.0000 7.0907 0.0000
0.0000 0.0000 3.2414
Al Tc Sb
4 4 2
Cartesian
0.8977 2.6476 0.0000
2.6476 6.1930 0.0000
4.4430 0.8977 0.0000
6.1930 4.4430 0.0000
1.1799 4.7253 1.6207
2.3654 1.1799 1.6207
4.7253 5.9107 1.6207
5.9107 2.3654 1.6207
0.0000 0.0000 0.0000
3.5453 3.5453 0.0000
```

Run x
First-principles (PBE) data for a relaxed structure of Al2Tc2Sb, as listed in Alexandria via LeMat-Bulk.

Computed properties:
**Crystal system**: tetragonal
**Mass density**: 7.46 g/cm3
**Space-group type**: P4/mbm (127)

Geometry as POSCAR:
```
Al2Tc2Sb
1.0
6.9752 0.0000 0.0000
0.0000 6.9752 0.0000
0.0000 0.0000 3.4025
Al Tc Sb
4 4 2
Cartesian
0.9708 2.5168 0.0000
2.5168 6.0044 0.0000
4.4584 0.9708 0.0000
6.0044 4.4584 0.0000
1.0824 4.5700 1.7013
2.4052 1.0824 1.7013
4.5700 5.8928 1.7013
5.8928 2.4052 1.7013
0.0000 0.0000 1.7013
3.4876 3.4876 1.7013
```

Tell me which of them is the most stable. Sure, it is run x.

Run w
First-principles (PBE) data for a relaxed structure of Al2TcSb2, as listed in Alexandria via LeMat-Bulk.

Computed properties:
**Crystal system**: tetragonal
**Mass density**: 6.26 g/cm3
**Space-group type**: I4/mmm (139)

Geometry as POSCAR:
```
Al2TcSb2
1.0
3.4812 0.0000 0.0000
0.0000 3.4812 0.0000
0.0000 0.0000 17.3265
Al Tc Sb
4 2 4
Cartesian
0.0000 1.7406 4.3316
0.0000 1.7406 12.9949
1.7406 0.0000 4.3316
1.7406 0.0000 12.9949
0.0000 0.0000 0.0000
1.7406 1.7406 8.6633
0.0000 0.0000 7.0856
0.0000 0.0000 10.2409
1.7406 1.7406 1.5776
1.7406 1.7406 15.7489
```

Run x
First-principles (PBE) data for a relaxed structure of Al2TcSb2, as listed in Alexandria via LeMat-Bulk.

Computed properties:
**Crystal system**: tetragonal
**Mass density**: 6.03 g/cm3
**Space-group type**: P4/mbm (127)

Geometry as POSCAR:
```
Al2TcSb2
1.0
6.8925 0.0000 0.0000
0.0000 6.8925 0.0000
0.0000 0.0000 4.5839
Al Tc Sb
4 2 4
Cartesian
1.1120 2.3342 0.0000
2.3342 5.7805 0.0000
4.5583 1.1120 0.0000
5.7805 4.5583 0.0000
0.0000 0.0000 2.2920
3.4462 3.4462 2.2920
1.0447 4.4909 2.2920
2.4016 1.0447 2.2920
4.4909 5.8478 2.2920
5.8478 2.4016 2.2920
```

Tell me which of them is the most stable. Sure, it is run w.

Run w
First-principles (PBE) data for a relaxed structure of AlTcSb2Te, as listed in Alexandria via LeMat-Bulk.

Computed properties:
**Crystal system**: tetragonal
**Mass density**: 5.63 g/cm3
**Space-group type**: P4/mmm (123)

Geometry as POSCAR:
```
AlTcSb2Te
1.0
5.0254 0.0000 0.0000
0.0000 5.0254 0.0000
0.0000 0.0000 5.7902
Al Tc Sb Te
1 1 2 1
Cartesian
0.0000 0.0000 0.0000
2.5127 2.5127 2.8951
0.0000 2.5127 2.8951
2.5127 0.0000 2.8951
2.5127 2.5127 0.0000
```

Run x
First-principles (PBE) data for a relaxed structure of AlTcSb2Te, as listed in Alexandria via LeMat-Bulk.

Computed properties:
**Crystal system**: tetragonal
**Mass density**: 5.75 g/cm3
**Space-group type**: P4/mmm (123)

Geometry as POSCAR:
```
AlTcSb2Te
1.0
5.2075 0.0000 0.0000
0.0000 5.2075 0.0000
0.0000 0.0000 5.2855
Al Tc Sb Te
1 1 2 1
Cartesian
0.0000 0.0000 0.0000
2.6038 2.6038 2.6427
0.0000 2.6038 0.0000
2.6038 0.0000 0.0000
0.0000 0.0000 2.6427
```

Tell me which of them is the most stable. Sure, it is run w.

Run w
First-principles (PBE) data for a relaxed structure of Al2Sb2Te, as listed in Alexandria via LeMat-Bulk.

Computed properties:
**Crystal system**: tetragonal
**Mass density**: 5.47 g/cm3
**Space-group type**: I4/mmm (139)

Geometry as POSCAR:
```
Al2Sb2Te
1.0
4.0590 0.0000 0.0000
0.0000 4.0590 0.0000
0.0000 0.0000 15.6671
Al Sb Te
4 4 2
Cartesian
0.0000 2.0295 3.9168
0.0000 2.0295 11.7503
2.0295 0.0000 3.9168
2.0295 0.0000 11.7503
0.0000 0.0000 1.9164
0.0000 0.0000 13.7506
2.0295 2.0295 5.9171
2.0295 2.0295 9.7500
0.0000 0.0000 7.8335
2.0295 2.0295 0.0000
```

Run x
First-principles (PBE) data for a relaxed structure of Al2Sb2Te, as listed in Alexandria via LeMat-Bulk.

Computed properties:
**Crystal system**: tetragonal
**Mass density**: 5.45 g/cm3
**Space-group type**: I4/mmm (139)

Geometry as POSCAR:
```
Al2Sb2Te
1.0
4.8003 0.0000 0.0000
0.0000 4.8003 0.0000
0.0000 0.0000 11.2373
Al Sb Te
4 4 2
Cartesian
0.0000 0.0000 1.2512
0.0000 0.0000 9.9861
2.4001 2.4001 4.3675
2.4001 2.4001 6.8698
0.0000 2.4001 2.8093
0.0000 2.4001 8.4280
2.4001 0.0000 2.8093
2.4001 0.0000 8.4280
0.0000 0.0000 5.6187
2.4001 2.4001 0.0000
```

Tell me which of them is the most stable. Sure, it is run w.

Run w
First-principles (PBE) data for a relaxed structure of AlSb3Te, as listed in Alexandria via LeMat-Bulk.

Computed properties:
**Crystal system**: cubic
**Mass density**: 4.55 g/cm3
**Space-group type**: Pm-3m (221)

Geometry as POSCAR:
```
AlSb3Te
1.0
5.7451 0.0000 0.0000
0.0000 5.7451 0.0000
0.0000 0.0000 5.7451
Al Sb Te
1 3 1
Cartesian
0.0000 0.0000 0.0000
0.0000 2.8726 2.8726
2.8726 0.0000 2.8726
2.8726 2.8726 0.0000
2.8726 2.8726 2.8726
```

Run x
First-principles (PBE) data for a relaxed structure of AlSb3Te, as listed in Alexandria via LeMat-Bulk.

Computed properties:
**Crystal system**: cubic
**Mass density**: 5.85 g/cm3
**Space-group type**: Pm-3m (221)

Geometry as POSCAR:
```
AlSb3Te
1.0
5.2851 0.0000 0.0000
0.0000 5.2851 0.0000
0.0000 0.0000 5.2851
Al Sb Te
1 3 1
Cartesian
0.0000 0.0000 0.0000
0.0000 0.0000 2.6425
0.0000 2.6425 0.0000
2.6425 0.0000 0.0000
2.6425 2.6425 2.6425
```

Tell me which of them is the most stable. Sure, it is run x.

Run w
First-principles (PBE) data for a relaxed structure of TiAlSbTe2, as listed in Alexandria via LeMat-Bulk.

Computed properties:
**Crystal system**: tetragonal
**Mass density**: 4.93 g/cm3
**Space-group type**: P4/mmm (123)

Geometry as POSCAR:
```
TiAlSbTe2
1.0
5.3380 0.0000 0.0000
0.0000 5.3380 0.0000
0.0000 0.0000 5.3416
Ti Al Sb Te
1 1 1 2
Cartesian
0.0000 0.0000 0.0000
2.6690 2.6690 2.6708
0.0000 0.0000 2.6708
0.0000 2.6690 0.0000
2.6690 0.0000 0.0000
```

Run x
First-principles (PBE) data for a relaxed structure of TiAlSbTe2, as listed in Alexandria via LeMat-Bulk.

Computed properties:
**Crystal system**: tetragonal
**Mass density**: 5.19 g/cm3
**Space-group type**: P4/mmm (123)

Geometry as POSCAR:
```
TiAlSbTe2
1.0
5.2984 0.0000 0.0000
0.0000 5.2984 0.0000
0.0000 0.0000 5.1529
Ti Al Sb Te
1 1 1 2
Cartesian
0.0000 0.0000 0.0000
2.6492 2.6492 2.5764
2.6492 2.6492 0.0000
0.0000 2.6492 2.5764
2.6492 0.0000 2.5764
```

Tell me which of them is the most stable. Sure, it is run w.

Run w
First-principles (PBE) data for a relaxed structure of AlVSbTe2, as listed in Alexandria via LeMat-Bulk.

Computed properties:
**Crystal system**: tetragonal
**Mass density**: 5.29 g/cm3
**Space-group type**: P4/mmm (123)

Geometry as POSCAR:
```
AlVSbTe2
1.0
5.2384 0.0000 0.0000
0.0000 5.2384 0.0000
0.0000 0.0000 5.2001
Al V Sb Te
1 1 1 2
Cartesian
0.0000 0.0000 0.0000
2.6192 2.6192 2.6000
2.6192 2.6192 0.0000
0.0000 2.6192 2.6000
2.6192 0.0000 2.6000
```

Run x
First-principles (PBE) data for a relaxed structure of AlVSbTe2, as listed in Alexandria via LeMat-Bulk.

Computed properties:
**Crystal system**: tetragonal
**Mass density**: 5.23 g/cm3
**Space-group type**: P4/mmm (123)

Geometry as POSCAR:
```
AlVSbTe2
1.0
5.2977 0.0000 0.0000
0.0000 5.2977 0.0000
0.0000 0.0000 5.1507
Al V Sb Te
1 1 1 2
Cartesian
0.0000 0.0000 0.0000
2.6489 2.6489 2.5753
0.0000 0.0000 2.5753
0.0000 2.6489 0.0000
2.6489 0.0000 0.0000
```

Tell me which of them is the most stable. Sure, it is run w.